1.
This record from the Alexandria database describes a geometry-optimized Sc2FeGeC structure. The functional is GGA-PBE.

Results
uncorrected energy	-37.50	eV per cell
total moment	1.00	μB per cell

a = 4.5189 Å, b = 4.5189 Å, c = 3.7158 Å
α = 90.00°, β = 90.00°, γ = 90.00°
With the nearest neighbours (Å) after each atom.
Sites, in units of the cell vectors:
1 Sc 0.0000 0.5000 0.0000  2 C 2.26
2 C 0.0000 0.0000 0.0000  2 Fe 1.86
3 Ge 0.5000 0.5000 0.5000  8 Sc 2.93, 4 Fe 3.20
4 Sc 0.5000 0.0000 0.0000  2 C 2.26
5 Fe 0.0000 0.0000 0.5000  2 C 1.86

2.
This record from the Alexandria database describes a geometry-optimized Sc3Fe9GeC2 structure. The functional is GGA-PBE.

Results
uncorrected energy	-119.38	eV per cell
total moment	14.53	μB per cell

a = 5.2471 Å, b = 5.2471 Å, c = 8.3271 Å
α = 90.00°, β = 90.00°, γ = 120.00°
With the nearest neighbours (Å) after each atom.
Sites, in units of the cell vectors:
1 Fe 0.8355 0.1645 0.7279  1 C 1.88
2 C 0.3333 0.6667 0.1409  6 Fe 1.88-1.92
3 Fe 0.8355 0.6709 0.7279  1 C 1.88
4 Ge 0.0000 0.0000 0.5000  6 Fe 2.42
5 Fe 0.6709 0.8355 0.2721  1 C 1.88
6 Fe 0.1645 0.3291 0.2721  1 C 1.88
7 Fe 0.3291 0.1645 0.7279  1 C 1.88
8 C 0.6667 0.3333 0.8591  6 Fe 1.88-1.92
9 Fe 0.1645 0.8355 0.2721  1 C 1.88
10 Fe 0.5000 0.5000 0.0000  2 C 1.92
11 Sc 0.0000 0.0000 0.0000  12 Fe 2.62-2.71
12 Sc 0.3333 0.6667 0.5978  9 Fe 2.84-3.12, 3 Ge 3.14
13 Fe 0.5000 0.0000 0.0000  2 C 1.92
14 Sc 0.6667 0.3333 0.4022  9 Fe 2.84-3.12, 3 Ge 3.14
15 Fe 0.0000 0.5000 0.0000  2 C 1.92

> Which value of uncorrected energy does entry 2 give?

-119.38 eV per cell

> The lowest total moment belongs to which entry?

Sc2FeGeC